[1]
The following is a DFT calculation (meta-GGA SCAN) of a PBEsol-optimized structure of Sm3Hg.

Values from the calculation:
The calculation puts the volume at 27.531 Å³/atom. The total magnetization comes out at 0.001 μB per formula unit. For the formation energy, the calculation gives -309.3 meV per atom. As for the distance to the lowest polymorph of the same formula: 0.0000 eV/atom. Its crystal system is hexagonal. The symmetry is No. 194. The total energy is -50.682 eV per atom.

abc: 5.3492 6.8952 6.8952
angles: 120.00 90.00 90.00
Atoms (fractional coordinates):
Sm 0.7500 0.8247 0.6494
Sm 0.2500 0.1753 0.3506
Sm 0.7500 0.3506 0.1753
Sm 0.2500 0.6494 0.8247
Sm 0.2500 0.1753 0.8247
Sm 0.7500 0.8247 0.1753
Hg 0.2500 0.6667 0.3333
Hg 0.7500 0.3333 0.6667

=====

[2]
The following is a DFT calculation (meta-GGA SCAN) of a PBEsol-optimized structure of Si2GeH.

Values from the calculation:
The calculation puts the volume at 14.347 Å³/atom. The total magnetization comes out at 0.000 μB per formula unit. As for the distance to the lowest polymorph of the same formula: 0.0000 eV/atom. Its crystal system is tetragonal. The symmetry is No. 122. The total energy is -10.077 eV per atom.

abc: 4.1253 4.1253 7.3481
angles: 106.30 106.30 90.00
Atoms (fractional coordinates):
Ge 0.2500 0.7500 0.5000
Ge 0.0000 0.0000 0.0000
Si 0.1250 0.2280 0.7500
Si 0.4780 0.8750 0.2500
Si 0.7720 0.3750 0.2500
Si 0.6250 0.5220 0.7500
H 0.5000 0.5000 0.0000
H 0.7500 0.2500 0.5000

=====

[3]
The following is a DFT calculation (meta-GGA SCAN) of a PBEsol-optimized structure of ZnNiCl.

Values from the calculation:
The calculation puts the volume at 14.495 Å³/atom. The total magnetization comes out at 0.000 μB per formula unit. Its crystal system is trigonal. The symmetry is No. 156. The total energy is -12.623 eV per atom.

abc: 3.0822 3.0822 5.2854
angles: 90.00 90.00 120.00
Atoms (fractional coordinates):
Zn 0.6667 0.3333 0.3550
Ni 0.3333 0.6667 0.6663
Cl 0.0000 0.0000 0.9788

=====

[4]
The following is a DFT calculation (meta-GGA SCAN) of a PBEsol-optimized structure of Tb3Fe5O12.

Values from the calculation:
The calculation puts the volume at 11.243 Å³/atom. The total magnetization comes out at 17.000 μB per formula unit. Its crystal system is cubic. The symmetry is No. 230. The total energy is -17.759 eV per atom.

abc: 10.5325 10.5325 10.5325
angles: 109.47 109.47 109.47
Atoms (fractional coordinates):
O 0.9197 0.3280 0.8006
O 0.4197 0.8006 0.3280
O 0.0803 0.4083 0.3809
O 0.9197 0.5917 0.6191
O 0.9726 0.8809 0.3006
O 0.8280 0.4197 0.3006
O 0.3006 0.9197 0.8280
O 0.0274 0.9083 0.8280
O 0.9083 0.3280 0.5274
O 0.8280 0.4083 0.0274
O 0.1994 0.1720 0.0803
O 0.6720 0.6994 0.5803
O 0.8809 0.8006 0.4726
O 0.5803 0.1994 0.6720
O 0.5917 0.1191 0.4197
O 0.8809 0.0803 0.9083
O 0.8006 0.9726 0.3809
O 0.1720 0.5917 0.9726
O 0.1191 0.1994 0.5274
O 0.3809 0.4726 0.8006
O 0.0803 0.6720 0.1994
O 0.3006 0.3809 0.9726
O 0.6994 0.0803 0.1720
O 0.8006 0.8280 0.9197
O 0.9726 0.0917 0.1720
O 0.5274 0.8280 0.9083
O 0.4726 0.3006 0.8809
O 0.4197 0.6191 0.5917
O 0.3280 0.0274 0.4083
O 0.6994 0.6191 0.0274
O 0.1191 0.9197 0.0917
O 0.4726 0.1720 0.0917
O 0.9083 0.5803 0.8809
O 0.5917 0.4726 0.6720
O 0.3809 0.9083 0.0803
O 0.6720 0.9726 0.5917
O 0.5274 0.6994 0.1191
O 0.0917 0.6720 0.4726
O 0.6191 0.0917 0.9197
O 0.5803 0.3809 0.4083
O 0.4083 0.8809 0.5803
O 0.0917 0.4197 0.1191
O 0.4083 0.5274 0.3280
O 0.3280 0.3006 0.4197
O 0.0274 0.1191 0.6994
O 0.1994 0.0274 0.6191
O 0.1720 0.5803 0.6994
O 0.6191 0.5274 0.1994
Fe 0.3750 0.7500 0.1250
Fe 0.5000 0.0000 0.5000
Fe 0.3750 0.6250 0.7500
Fe 0.7500 0.1250 0.3750
Fe 0.6250 0.2500 0.8750
Fe 0.1250 0.2500 0.3750
Fe 0.2500 0.8750 0.6250
Fe 0.6250 0.3750 0.2500
Fe 0.2500 0.3750 0.1250
Fe 0.5000 0.5000 0.5000
Fe 0.0000 0.0000 0.0000
Fe 0.0000 0.5000 0.5000
Fe 0.1250 0.8750 0.2500
Fe 0.8750 0.1250 0.7500
Fe 0.8750 0.7500 0.6250
Fe 0.0000 0.5000 0.0000
Fe 0.7500 0.6250 0.8750
Fe 0.0000 0.0000 0.5000
Fe 0.5000 0.5000 0.0000
Fe 0.5000 0.0000 0.0000
Tb 0.3750 0.1250 0.2500
Tb 0.7500 0.8750 0.1250
Tb 0.6250 0.8750 0.7500
Tb 0.1250 0.7500 0.8750
Tb 0.8750 0.2500 0.1250
Tb 0.3750 0.2500 0.6250
Tb 0.1250 0.3750 0.7500
Tb 0.8750 0.6250 0.2500
Tb 0.2500 0.6250 0.3750
Tb 0.6250 0.7500 0.3750
Tb 0.7500 0.3750 0.6250
Tb 0.2500 0.1250 0.8750

=====

[5]
The following is a DFT calculation (meta-GGA SCAN) of a PBEsol-optimized structure of AgSn2Te2.

Values from the calculation:
The calculation puts the volume at 27.682 Å³/atom. The total magnetization comes out at 0.000 μB per formula unit. Its crystal system is tetragonal. The symmetry is No. 139. The total energy is -35.310 eV per atom.

abc: 4.1163 4.1163 8.6718
angles: 103.73 103.73 90.00
Atoms (fractional coordinates):
Te 0.5911 0.5911 0.1822
Te 0.4089 0.4089 0.8178
Sn 0.2500 0.7500 0.5000
Sn 0.7500 0.2500 0.5000
Ag 0.0000 0.0000 0.0000

=====

[6]
The following is a DFT calculation (meta-GGA SCAN) of a PBEsol-optimized structure of Sr3Re.

Values from the calculation:
The calculation puts the volume at 34.396 Å³/atom. The total magnetization comes out at 1.060 μB per formula unit. For the formation energy, the calculation gives 1106.3 meV per atom. Its crystal system is hexagonal. The symmetry is No. 187. The total energy is -33.375 eV per atom.

abc: 3.6834 3.6834 11.7094
angles: 90.00 90.00 120.00
Atoms (fractional coordinates):
Sr 0.3333 0.6667 0.8130
Sr 0.0000 0.0000 0.5000
Sr 0.3333 0.6667 0.1870
Re 0.0000 0.0000 0.0000

=====

[7]
The following is a DFT calculation (meta-GGA SCAN) of a PBEsol-optimized structure of RbHfNiC2.

Values from the calculation:
The calculation puts the volume at 21.117 Å³/atom. The total magnetization comes out at 1.503 μB per formula unit. For the formation energy, the calculation gives 2229.6 meV per atom. Its crystal system is tetragonal. The symmetry is No. 123. The total energy is -21.727 eV per atom.

abc: 4.2344 4.2344 5.8889
angles: 90.00 90.00 90.00
Atoms (fractional coordinates):
C 0.5000 0.0000 0.0000
C 0.0000 0.5000 0.0000
Rb 0.0000 0.0000 0.5000
Ni 0.5000 0.5000 0.5000
Hf 0.0000 0.0000 0.0000

=====

[8]
The following is a DFT calculation (meta-GGA SCAN) of a PBEsol-optimized structure of ZrCdSN2.

Values from the calculation:
The calculation puts the volume at 15.522 Å³/atom. The total magnetization comes out at 0.002 μB per formula unit. Its crystal system is tetragonal. The symmetry is No. 123. The total energy is -16.782 eV per atom.

abc: 4.0445 4.0445 4.7445
angles: 90.00 90.00 90.00
Atoms (fractional coordinates):
S 0.0000 0.0000 0.5000
N 0.5000 0.0000 0.0000
N 0.0000 0.5000 0.0000
Zr 0.5000 0.5000 0.5000
Cd 0.0000 0.0000 0.0000

=====

The lowest volume belongs to which entry?
Tb3Fe5O12

=====

The lowest volume belongs to which entry?
Tb3Fe5O12